{"formula": "Mg3Sc4Zn", "functional": "PBE-GGA", "state": "relaxed", "e_form_ev_per_atom": -0.1181, "crystal_system": "tetragonal", "dos_ef_per_ev_atom": 1.067, "energy_ev_per_cell": -32.33, "cell": [[3.3990, 0.0000, 0.0000], [0.0000, 3.3990, 0.0000], [0.0000, 0.0000, 15.3324]], "species": ["Mg", "Mg", "Mg", "Sc", "Sc", "Sc", "Sc", "Zn"], "frac_coords": [[0.0000, 0.0000, 0.0000], [0.0000, 0.0000, 0.2604], [0.0000, 0.0000, 0.7396], [0.5000, 0.5000, 0.1300], [0.5000, 0.5000, 0.3944], [0.5000, 0.5000, 0.6056], [0.5000, 0.5000, 0.8700], [0.0000, 0.0000, 0.5000]]}

=====

{"formula": "Hf5MnSb2", "functional": "PBE-GGA", "state": "relaxed", "crystal_system": "tetragonal", "dos_ef_per_ev_atom": 0.914, "raw_formation_energy_ev_per_atom": -0.417, "energy_ev_per_cell": -141.03, "cell": [[-5.4738, 5.4738, 2.7825], [5.4738, -5.4738, 2.7825], [5.4738, 5.4738, -2.7825]], "species": ["Hf", "Hf", "Hf", "Hf", "Hf", "Hf", "Hf", "Hf", "Hf", "Hf", "Mn", "Mn", "Sb", "Sb", "Sb", "Sb"], "frac_coords": [[0.0706, 0.7991, 0.8697], [0.2009, 0.0706, 0.2714], [0.2500, 0.7500, 0.5000], [0.2991, 0.5706, 0.8697], [0.4294, 0.2991, 0.7286], [0.5706, 0.7009, 0.2714], [0.7009, 0.4294, 0.1303], [0.7500, 0.2500, 0.5000], [0.7991, 0.9294, 0.7286], [0.9294, 0.2009, 0.1303], [0.2500, 0.2500, 0.0000], [0.7500, 0.7500, 0.0000], [0.1640, 0.3360, 0.5000], [0.3360, 0.8360, 0.1720], [0.6640, 0.1640, 0.8280], [0.8360, 0.6640, 0.5000]]}

=====

{"formula": "Ba2ThMgSe5", "functional": "PBE-GGA", "state": "relaxed", "crystal_system": "orthorhombic", "dos_ef_per_ev_atom": 0.000, "raw_formation_energy_ev_per_atom": -1.787, "energy_ev_per_cell": -92.74, "cell": [[2.2150, -9.4044, 0.0000], [2.2150, 9.4044, 0.0000], [0.0000, 0.0000, 13.5774]], "species": ["Ba", "Ba", "Ba", "Ba", "Th", "Th", "Mg", "Mg", "Se", "Se", "Se", "Se", "Se", "Se", "Se", "Se", "Se", "Se"], "frac_coords": [[0.1055, 0.8945, 0.5000], [0.1245, 0.8755, 0.1308], [0.8755, 0.1245, 0.6308], [0.8945, 0.1055, 0.0000], [0.2095, 0.7905, 0.8343], [0.7905, 0.2095, 0.3343], [0.4509, 0.5491, 0.2640], [0.5491, 0.4509, 0.7640], [0.0550, 0.9450, 0.8646], [0.2855, 0.7145, 0.4767], [0.3099, 0.6901, 0.1920], [0.3610, 0.6390, 0.8193], [0.4974, 0.5026, 0.5930], [0.5026, 0.4974, 0.0930], [0.6390, 0.3610, 0.3193], [0.6901, 0.3099, 0.6920], [0.7145, 0.2855, 0.9767], [0.9450, 0.0550, 0.3646]]}

=====

{"formula": "BaZr2Sc", "functional": "PBE-GGA", "state": "relaxed", "e_form_ev_per_atom": 0.3602, "crystal_system": "tetragonal", "dos_ef_per_ev_atom": 1.599, "energy_ev_per_cell": -23.91, "relative_energy_mev_per_atom": 78, "cell": [[3.2710, 0.0000, 0.0000], [0.0000, 3.2710, 0.0000], [0.0000, 0.0000, 10.5103]], "species": ["Ba", "Zr", "Zr", "Sc"], "frac_coords": [[0.0000, 0.0000, 0.0000], [0.5000, 0.5000, 0.2924], [0.5000, 0.5000, 0.7076], [0.0000, 0.0000, 0.5000]]}

=====

{"formula": "Ba2CaCd3In4", "functional": "PBE-GGA", "state": "relaxed", "e_form_ev_per_atom": -0.3334, "crystal_system": "tetragonal", "dos_ef_per_ev_atom": 0.684, "energy_ev_per_cell": -22.88, "cell": [[4.9065, 0.0000, 0.0000], [0.0000, 4.9065, 0.0000], [0.0000, 0.0000, 13.1460]], "species": ["Ba", "Ba", "Ca", "Cd", "Cd", "Cd", "In", "In", "In", "In"], "frac_coords": [[0.0000, 0.5000, 0.2306], [0.5000, 0.0000, 0.7694], [0.0000, 0.0000, 0.5000], [0.0000, 0.5000, 0.8696], [0.5000, 0.0000, 0.1304], [0.5000, 0.5000, 0.5000], [0.0000, 0.0000, 0.0000], [0.0000, 0.5000, 0.6516], [0.5000, 0.0000, 0.3484], [0.5000, 0.5000, 0.0000]]}

=====

{"formula": "Al5Sn3S12", "functional": "PBE-GGA", "state": "relaxed", "crystal_system": "cubic", "dos_ef_per_ev_atom": 0.492, "raw_formation_energy_ev_per_atom": -0.675, "energy_ev_per_cell": -375.04, "cell": [[-7.4991, 7.4991, 7.4991], [7.4991, -7.4991, 7.4991], [7.4991, 7.4991, -7.4991]], "species": ["Al", "Al", "Al", "Al", "Al", "Al", "Al", "Al", "Al", "Al", "Al", "Al", "Al", "Al", "Al", "Al", "Al", "Al", "Al", "Al", "Sn", "Sn", "Sn", "Sn", "Sn", "Sn", "Sn", "Sn", "Sn", "Sn", "Sn", "Sn", "S", "S", "S", "S", "S", "S", "S", "S", "S", "S", "S", "S", "S", "S", "S", "S", "S", "S", "S", "S", "S", "S", "S", "S", "S", "S", "S", "S", "S", "S", "S", "S", "S", "S", "S", "S", "S", "S", "S", "S", "S", "S", "S", "S", "S", "S", "S", "S"], "frac_coords": [[0.0000, 0.0000, 0.0000], [0.0000, 0.0000, 0.5000], [0.0000, 0.5000, 0.0000], [0.0000, 0.5000, 0.5000], [0.1250, 0.7500, 0.8750], [0.1250, 0.8750, 0.2500], [0.2500, 0.1250, 0.8750], [0.2500, 0.6250, 0.3750], [0.3750, 0.2500, 0.6250], [0.3750, 0.6250, 0.7500], [0.5000, 0.0000, 0.0000], [0.5000, 0.0000, 0.5000], [0.5000, 0.5000, 0.0000], [0.5000, 0.5000, 0.5000], [0.6250, 0.3750, 0.2500], [0.6250, 0.7500, 0.3750], [0.7500, 0.3750, 0.6250], [0.7500, 0.8750, 0.1250], [0.8750, 0.1250, 0.7500], [0.8750, 0.2500, 0.1250], [0.1250, 0.2500, 0.3750], [0.1250, 0.3750, 0.7500], [0.2500, 0.3750, 0.1250], [0.2500, 0.8750, 0.6250], [0.3750, 0.1250, 0.2500], [0.3750, 0.7500, 0.1250], [0.6250, 0.2500, 0.8750], [0.6250, 0.8750, 0.7500], [0.7500, 0.1250, 0.3750], [0.7500, 0.6250, 0.8750], [0.8750, 0.6250, 0.2500], [0.8750, 0.7500, 0.6250], [0.0276, 0.2048, 0.1204], [0.0276, 0.3228, 0.9071], [0.0844, 0.7048, 0.6772], [0.0844, 0.8796, 0.4071], [0.0929, 0.6204, 0.4156], [0.0929, 0.9724, 0.6772], [0.1204, 0.0276, 0.2048], [0.1204, 0.5929, 0.9156], [0.1772, 0.2048, 0.5844], [0.1772, 0.4724, 0.5929], [0.2048, 0.1204, 0.0276], [0.2048, 0.5844, 0.1772], [0.2952, 0.3228, 0.9156], [0.2952, 0.4724, 0.3796], [0.3228, 0.9071, 0.0276], [0.3228, 0.9156, 0.2952], [0.3796, 0.2952, 0.4724], [0.3796, 0.5844, 0.9071], [0.4071, 0.0844, 0.8796], [0.4071, 0.8228, 0.5276], [0.4156, 0.0929, 0.6204], [0.4156, 0.8228, 0.7952], [0.4724, 0.3796, 0.2952], [0.4724, 0.5929, 0.1772], [0.5276, 0.4071, 0.8228], [0.5276, 0.6204, 0.7048], [0.5844, 0.1772, 0.2048], [0.5844, 0.9071, 0.3796], [0.5929, 0.1772, 0.4724], [0.5929, 0.9156, 0.1204], [0.6204, 0.4156, 0.0929], [0.6204, 0.7048, 0.5276], [0.6772, 0.0844, 0.7048], [0.6772, 0.0929, 0.9724], [0.7048, 0.5276, 0.6204], [0.7048, 0.6772, 0.0844], [0.7952, 0.4156, 0.8228], [0.7952, 0.8796, 0.9724], [0.8228, 0.5276, 0.4071], [0.8228, 0.7952, 0.4156], [0.8796, 0.4071, 0.0844], [0.8796, 0.9724, 0.7952], [0.9071, 0.0276, 0.3228], [0.9071, 0.3796, 0.5844], [0.9156, 0.1204, 0.5929], [0.9156, 0.2952, 0.3228], [0.9724, 0.6772, 0.0929], [0.9724, 0.7952, 0.8796]]}